# 1
{
  "formula": "Li2TlTc",
  "functional": "PBE",
  "state": "relaxed",
  "lattice": [[1.812, -2.090, 0.000], [1.812, 2.090, 0.000], [0.000, 0.000, 9.231]],
  "species": ["Li", "Li", "Tl", "Tc"],
  "frac_coords": [[0.000, 0.000, 0.227], [0.000, 0.000, 0.773], [0.500, 0.500, 0.500], [0.500, 0.500, 0.000]],
  "formation_energy_ev_per_atom": 0.298,
  "dft_energy_ev_per_atom": -3.841,
  "polymorph_energy_mev_per_atom": 18
}

=====

# 2
{
  "formula": "La2TiP3Rh12",
  "functional": "PBE",
  "state": "relaxed",
  "lattice": [[4.260, 2.460, 5.015], [-4.260, 2.460, 5.015], [0.000, -4.919, 5.015]],
  "species": ["La", "La", "Ti", "P", "P", "P", "Rh", "Rh", "Rh", "Rh", "Rh", "Rh", "Rh", "Rh", "Rh", "Rh", "Rh", "Rh"],
  "frac_coords": [[0.110, 0.110, 0.110], [0.890, 0.890, 0.890], [0.500, 0.500, 0.500], [0.000, 0.500, 0.500], [0.500, 0.000, 0.500], [0.500, 0.500, 0.000], [0.139, 0.650, 0.650], [0.173, 0.173, 0.588], [0.173, 0.588, 0.173], [0.350, 0.350, 0.861], [0.350, 0.861, 0.350], [0.412, 0.827, 0.827], [0.588, 0.173, 0.173], [0.650, 0.139, 0.650], [0.650, 0.650, 0.139], [0.827, 0.412, 0.827], [0.827, 0.827, 0.412], [0.861, 0.350, 0.350]],
  "formation_energy_ev_per_atom": -0.335,
  "dft_energy_ev_per_atom": -7.124
}

=====

# 3
{
  "formula": "Rb2U2TlTe5",
  "functional": "PBE",
  "state": "relaxed",
  "lattice": [[13.742, 0.000, 0.000], [0.000, 13.742, 0.000], [0.000, 0.000, 4.010]],
  "species": ["Rb", "Rb", "Rb", "Rb", "U", "U", "U", "U", "Tl", "Tl", "Te", "Te", "Te", "Te", "Te", "Te", "Te", "Te", "Te", "Te"],
  "frac_coords": [[0.179, 0.321, 0.000], [0.321, 0.821, 0.000], [0.679, 0.179, 0.000], [0.821, 0.679, 0.000], [0.123, 0.623, 0.000], [0.377, 0.123, 0.000], [0.623, 0.877, 0.000], [0.877, 0.377, 0.000], [0.000, 0.000, 0.000], [0.500, 0.500, 0.000], [0.000, 0.500, 0.500], [0.073, 0.785, 0.500], [0.215, 0.073, 0.500], [0.285, 0.573, 0.500], [0.427, 0.285, 0.500], [0.500, 0.000, 0.500], [0.573, 0.715, 0.500], [0.715, 0.427, 0.500], [0.785, 0.927, 0.500], [0.927, 0.215, 0.500]],
  "dft_energy_ev_per_atom": -4.912
}

=====

# 4
{
  "formula": "PtIBr2",
  "functional": "PBE",
  "state": "relaxed",
  "lattice": [[3.626, -5.855, 0.000], [3.626, 5.855, 0.000], [-2.960, 0.000, 6.031]],
  "species": ["Pt", "Pt", "I", "I", "Br", "Br", "Br", "Br"],
  "frac_coords": [[0.082, 0.918, 0.500], [0.918, 0.082, 0.000], [0.483, 0.908, 0.684], [0.908, 0.483, 0.184], [0.156, 0.293, 0.808], [0.293, 0.156, 0.308], [0.711, 0.886, 0.219], [0.886, 0.711, 0.719]],
  "dft_energy_ev_per_atom": -2.862,
  "polymorph_energy_mev_per_atom": 0
}

=====

# 5
{
  "formula": "RbLaTc2Sn",
  "functional": "PBE",
  "state": "relaxed",
  "lattice": [[4.865, 0.000, 0.000], [0.000, 4.865, 0.000], [0.000, 0.000, 5.422]],
  "species": ["Rb", "La", "Tc", "Tc", "Sn"],
  "frac_coords": [[0.000, 0.000, 0.000], [0.000, 0.000, 0.500], [0.000, 0.500, 0.000], [0.500, 0.000, 0.000], [0.500, 0.500, 0.500]],
  "formation_energy_ev_per_atom": 2.117,
  "dft_energy_ev_per_atom": -4.009
}

=====

# 6
{
  "formula": "Li2HoSc2Si2",
  "functional": "PBE",
  "state": "relaxed",
  "lattice": [[2.180, 1.259, 8.106], [-2.180, 1.259, 8.106], [0.000, -2.517, 8.106]],
  "species": ["Li", "Li", "Ho", "Sc", "Sc", "Si", "Si"],
  "frac_coords": [[0.087, 0.087, 0.087], [0.913, 0.913, 0.913], [0.500, 0.500, 0.500], [0.369, 0.369, 0.369], [0.631, 0.631, 0.631], [0.243, 0.243, 0.243], [0.757, 0.757, 0.757]],
  "dft_energy_ev_per_atom": -4.982
}